No. 1
The following is a DFT calculation (meta-GGA SCAN) of a PBEsol-optimized structure of ZnNi2Ir.

Computed properties:
The value obtained for the calculated density is 12.88 g cm⁻³. Its energy of formation is -21 meV/atom. The crystal system is monoclinic.

```
ZnNi2Ir
1.0
2.664 0.000 0.000
-1.332 4.201 -0.012
0.000 -0.835 4.323
Ni Zn Ir
2 1 1
Direct
0.747 0.495 0.744
0.253 0.505 0.256
0.500 0.000 0.000
0.000 0.000 0.500
```


No. 2
The following is a DFT calculation (meta-GGA SCAN) of a PBEsol-optimized structure of LaSc2CrSi.

Computed properties:
The value obtained for the calculated density is 3.65 g cm⁻³. The energy relative to the elements, uncorrected comes out at 184 meV per atom. The crystal system is tetragonal.

```
LaSc2CrSi
1.0
4.973 0.000 0.000
0.000 4.973 0.000
0.000 0.000 5.689
Sc Cr Si La
2 1 1 1
Direct
0.000 0.500 0.000
0.500 0.000 0.000
0.500 0.500 0.500
0.000 0.000 0.000
0.000 0.000 0.500
```


No. 3
The following is a DFT calculation (meta-GGA SCAN) of a PBEsol-optimized structure of TlInPt2.

Computed properties:
The value obtained for the calculated density is 15.65 g cm⁻³. Its energy of formation is -99 meV/atom. The crystal system is tetragonal.

```
TlInPt2
1.0
3.682 0.000 0.000
0.000 3.682 0.000
0.000 0.000 5.552
In Pt Tl
1 2 1
Direct
0.500 0.500 0.795
0.000 0.000 0.964
0.500 0.500 0.282
0.000 0.000 0.459
```